Below is CsUNi2Cl8 after structural relaxation, with properties calculated at the PBE level.

Summary:
Spin magnetization ... 1.00 Bohr magnetons per cell
E_tot ... -52.80 eV for the cell shown
Space-group type ... R-3
Formation energy (no corrections) ... -14.33 eV/f.u.

a b c (Å): 10.9380 10.9380 10.9380
angles (deg): 34.53 34.53 34.53
Fractional coordinates of all 12 atoms:
Cs 0.0000 0.0000 0.0000
U 0.5000 0.5000 0.5000
Ni 0.2415 0.2415 0.2415
Ni 0.7585 0.7585 0.7585
Cl 0.1212 0.4545 0.7737
Cl 0.2263 0.8788 0.5455
Cl 0.3123 0.3123 0.3123
Cl 0.4545 0.7737 0.1212
Cl 0.5455 0.2263 0.8788
Cl 0.6877 0.6877 0.6877
Cl 0.7737 0.1212 0.4545
Cl 0.8788 0.5455 0.2263

=====

Below is ReTeW2 after structural relaxation, with properties calculated at the PBE level.

Summary:
Spin magnetization ... 0.00 Bohr magnetons per cell
E_tot ... -77.53 eV for the cell shown
Space-group type ... Imm2
Formation energy (no corrections) ... 2.73 eV/f.u.

a b c (Å): 3.1764 4.5551 9.3308
angles (deg): 90.00 90.00 90.00
Fractional coordinates of all 8 atoms:
Re 0.0000 0.0000 0.0000
Re 0.5000 0.5000 0.5000
Te 0.0000 0.5000 0.7390
Te 0.5000 0.0000 0.2390
W 0.0000 0.0000 0.4813
W 0.0000 0.5000 0.2490
W 0.5000 0.0000 0.7490
W 0.5000 0.5000 0.9813

=====

Below is Ta2AgHg after structural relaxation, with properties calculated at the PBE level.

Summary:
Spin magnetization ... 0.00 Bohr magnetons per cell
E_tot ... -50.73 eV for the cell shown
Space-group type ... C2/m
ΔH_f (0 K) ... 0.374 eV/atom

a b c (Å): 10.2794 2.9260 5.0401
angles (deg): 90.00 99.69 90.00
Fractional coordinates of all 8 atoms:
Ta 0.2498 0.0000 0.2474
Ta 0.2502 0.5000 0.7526
Ta 0.7502 0.0000 0.7526
Ta 0.7498 0.5000 0.2474
Ag 0.0000 0.5000 0.0000
Ag 0.5000 0.0000 0.0000
Hg 0.0000 0.0000 0.5000
Hg 0.5000 0.5000 0.5000

=====

Below is CaLaP2 after structural relaxation, with properties calculated at the PBE level.

Summary:
Spin magnetization ... 0.00 Bohr magnetons per cell
E_tot ... -43.47 eV for the cell shown
Space-group type ... Cmmm
ΔH_f (0 K) ... -0.997 eV/atom
Distance to the lowest polymorph of the same formula ... 148 meV/atom

a b c (Å): 6.6144 7.4300 3.7437
angles (deg): 90.00 90.00 90.00
Fractional coordinates of all 8 atoms:
Ca 0.0000 0.0000 0.0000
Ca 0.5000 0.5000 0.0000
La 0.0000 0.5000 0.0000
La 0.5000 0.0000 0.0000
P 0.2500 0.2500 0.5000
P 0.2500 0.7500 0.5000
P 0.7500 0.2500 0.5000
P 0.7500 0.7500 0.5000

=====

Below is AlRuCl after structural relaxation, with properties calculated at the PBE level.

Summary:
Spin magnetization ... 0.09 Bohr magnetons per cell
E_tot ... -15.44 eV for the cell shown
Space-group type ... P3m1
Distance to the lowest polymorph of the same formula ... 0 meV/atom
Formation energy (no corrections) ... -0.58 eV/f.u.

a b c (Å): 3.0137 3.0137 6.7492
angles (deg): 90.00 90.00 120.00
Fractional coordinates of all 3 atoms:
Al 0.0000 0.0000 0.0000
Ru 0.6667 0.3333 0.7408
Cl 0.3333 0.6667 0.2545

=====

Below is Er7Pd2Ru2 after structural relaxation, with properties calculated at the PBE level.

Summary:
Spin magnetization ... 0.00 Bohr magnetons per cell
E_tot ... -65.07 eV for the cell shown
Space-group type ... Cmmm
ΔH_f (0 K) ... -0.381 eV/atom

a b c (Å): 6.5431 6.5431 6.8061
angles (deg): 90.00 90.00 106.12
Fractional coordinates of all 11 atoms:
Er 0.0000 0.0000 0.0000
Er 0.0000 0.5000 0.2627
Er 0.0000 0.5000 0.7373
Er 0.5000 0.0000 0.2627
Er 0.5000 0.0000 0.7373
Er 0.5000 0.5000 0.2534
Er 0.5000 0.5000 0.7466
Pd 0.1901 0.1901 0.5000
Pd 0.8099 0.8099 0.5000
Ru 0.2884 0.7116 0.0000
Ru 0.7116 0.2884 0.0000

=====

Below is CrFe2Se after structural relaxation, with properties calculated at the PBE level.

Summary:
Spin magnetization ... 2.82 Bohr magnetons per cell
E_tot ... -29.11 eV for the cell shown
Space-group type ... Pmmm
Distance to the lowest polymorph of the same formula ... 38 meV/atom
Formation energy (no corrections) ... 0.92 eV/f.u.

a b c (Å): 3.0476 4.0278 4.1811
angles (deg): 90.00 90.00 90.00
Fractional coordinates of all 4 atoms:
Cr 0.0000 0.0000 0.0000
Fe 0.0000 0.5000 0.5000
Fe 0.5000 0.0000 0.5000
Se 0.5000 0.5000 0.0000

=====

Which of these has the highest E_tot? AlRuCl

=====

What did the second record say?
Below is ReTeW2 after structural relaxation, with properties calculated at the PBE level.

Summary:
Spin magnetization ... 0.00 Bohr magnetons per cell
E_tot ... -77.53 eV for the cell shown
Space-group type ... Imm2
Formation energy (no corrections) ... 2.73 eV/f.u.

a b c (Å): 3.1764 4.5551 9.3308
angles (deg): 90.00 90.00 90.00
Fractional coordinates of all 8 atoms:
Re 0.0000 0.0000 0.0000
Re 0.5000 0.5000 0.5000
Te 0.0000 0.5000 0.7390
Te 0.5000 0.0000 0.2390
W 0.0000 0.0000 0.4813
W 0.0000 0.5000 0.2490
W 0.5000 0.0000 0.7490
W 0.5000 0.5000 0.9813

=====

The lowest E_tot belongs to which entry? ReTeW2

=====

What did the sixth record say?
Below is Er7Pd2Ru2 after structural relaxation, with properties calculated at the PBE level.

Summary:
Spin magnetization ... 0.00 Bohr magnetons per cell
E_tot ... -65.07 eV for the cell shown
Space-group type ... Cmmm
ΔH_f (0 K) ... -0.381 eV/atom

a b c (Å): 6.5431 6.5431 6.8061
angles (deg): 90.00 90.00 106.12
Fractional coordinates of all 11 atoms:
Er 0.0000 0.0000 0.0000
Er 0.0000 0.5000 0.2627
Er 0.0000 0.5000 0.7373
Er 0.5000 0.0000 0.2627
Er 0.5000 0.0000 0.7373
Er 0.5000 0.5000 0.2534
Er 0.5000 0.5000 0.7466
Pd 0.1901 0.1901 0.5000
Pd 0.8099 0.8099 0.5000
Ru 0.2884 0.7116 0.0000
Ru 0.7116 0.2884 0.0000